VASP calculation (PBE with a Hubbard U) on Na4Ho3MoO8 after structural relaxation.

Output
Energy: -106.287 eV for the cell shown

Unit cell a=6.783 b=6.783 c=6.783 alpha=59.37 beta=59.37 gamma=59.37
Fractional coordinates of all 16 atoms:
Na (0.000, 0.000, 0.000)
Na (0.000, 0.500, 0.500)
Na (0.500, 0.000, 0.500)
Na (0.500, 0.500, 0.000)
Ho (0.000, 0.000, 0.500)
Ho (0.000, 0.500, 0.000)
Ho (0.500, 0.000, 0.000)
Mo (0.500, 0.500, 0.500)
O (0.237, 0.237, 0.237)
O (0.243, 0.734, 0.734)
O (0.266, 0.266, 0.757)
O (0.266, 0.757, 0.266)
O (0.734, 0.243, 0.734)
O (0.734, 0.734, 0.243)
O (0.757, 0.266, 0.266)
O (0.763, 0.763, 0.763)